Entry 1:
The following is a PBE calculation of YTm2PbC after structural relaxation, from the Alexandria database.

ΔH_f (0 K) = -566 meV per atom
uncorrected energy = -31.171 eV for the cell shown
crystal system = tetragonal

Unit cell a=4.9236 b=4.8408 c=4.8408 alpha=90.00 beta=90.00 gamma=90.00
Closest atoms and distances in Å follow each position.
Positions (direct):
Y 0.5000 0.0000 0.0000  2 C 2.46
Tm 0.0000 0.0000 0.5000  2 C 2.42
Tm 0.0000 0.5000 0.0000  2 C 2.42
Pb 0.5000 0.5000 0.5000  4 Y 3.42, 8 Tm 3.45
C 0.0000 0.0000 0.0000  4 Tm 2.42, 2 Y 2.46

---

Entry 2:
The following is a PBE calculation of BaReHg2 after structural relaxation, from the Alexandria database.

ΔH_f (0 K) = 844 meV per atom
uncorrected energy = -11.597 eV for the cell shown
energy above the lowest structure with this stoichiometry = 0.257 eV/atom
crystal system = trigonal

Unit cell a=10.7957 b=10.7957 c=10.7957 alpha=16.83 beta=16.83 gamma=16.83
Closest atoms and distances in Å follow each position.
Positions (direct):
Re 0.2500 0.2500 0.2500  6 Hg 2.94, 6 Re 3.16
Hg 0.9887 0.9887 0.9887  3 Re 2.94, 6 Hg 3.16
Hg 0.5113 0.5113 0.5113  3 Re 2.94, 6 Hg 3.16
Ba 0.7500 0.7500 0.7500  6 Ba 3.16, 6 Hg 3.53

---

Entry 3:
The following is a PBE calculation of InAs2P after structural relaxation, from the Alexandria database.

ΔH_f (0 K) = 15 meV per atom
uncorrected energy = -17.387 eV for the cell shown
energy above the lowest structure with this stoichiometry = 0.000 eV/atom
crystal system = tetragonal

Unit cell a=3.8278 b=3.8261 c=6.0088 alpha=90.00 beta=90.00 gamma=90.00
Closest atoms and distances in Å follow each position.
Positions (direct):
As 0.0000 0.0000 0.1411  4 As 2.74, 1 In 2.78
As 0.5000 0.5000 0.0721  1 P 2.33
In 0.0000 0.0000 0.6031  4 P 2.75, 1 As 2.78
P 0.5000 0.5000 0.6837  1 As 2.33

---

Entry 4:
The following is a PBE calculation of AgSn2S3 after structural relaxation, from the Alexandria database.

uncorrected energy = -24.866 eV for the cell shown
uncorrected formation energy = -6.3 kcal/mol of atoms
energy above the lowest structure with this stoichiometry = 0.031 eV/atom
crystal system = monoclinic

Unit cell a=3.9707 b=3.9709 c=8.9401 alpha=102.92 beta=102.92 gamma=89.96
Closest atoms and distances in Å follow each position.
Positions (direct):
Ag 0.4343 0.4362 0.8739  6 S 2.81-2.88
Sn 0.0933 0.0952 0.1923  6 S 2.70-2.90
Sn 0.7748 0.7763 0.5555  6 S 2.70-2.90
S 0.9343 0.9358 0.8740  2 Sn 2.70, 4 Ag 2.81
S 0.2653 0.2662 0.5344  5 Sn 2.81-2.90, 1 Ag 2.88
S 0.6035 0.6044 0.2137  5 Sn 2.81-2.90, 1 Ag 2.88

---

Entry 5:
The following is a PBE calculation of CaPr2Nb after structural relaxation, from the Alexandria database.

ΔH_f (0 K) = 654 meV per atom
uncorrected energy = -19.014 eV for the cell shown
crystal system = trigonal

Unit cell a=3.3740 b=3.3740 c=12.6164 alpha=82.32 beta=82.32 gamma=60.00
Closest atoms and distances in Å follow each position.
Positions (direct):
Pr 0.0786 0.0786 0.7643  1 Nb 2.94
Pr 0.9214 0.9214 0.2357  1 Nb 2.94
Nb 0.0000 0.0000 0.0000  2 Pr 2.94
Ca 0.5000 0.5000 0.5000  6 Ca 3.37

---

Entry 6:
The following is a PBE calculation of DyYTl2S4 after structural relaxation, from the Alexandria database.

uncorrected energy = -44.243 eV for the cell shown
uncorrected formation energy = -34.4 kcal/mol of atoms
crystal system = monoclinic

Unit cell a=4.0338 b=6.9863 c=7.8729 alpha=107.19 beta=90.00 gamma=90.00
Closest atoms and distances in Å follow each position.
Positions (direct):
Dy 0.0000 0.0000 0.0000  6 S 2.76
Y 0.5000 0.5000 0.0000  6 S 2.77
Tl 0.5000 0.0000 0.5000  6 S 3.25
Tl 0.0000 0.5000 0.5000  6 S 3.25-3.26
S 0.5000 0.2322 0.1979  2 Dy 2.76, 1 Y 2.77
S 0.5000 0.7678 0.8021  2 Dy 2.76, 1 Y 2.77
S 0.0000 0.2669 0.8019  1 Dy 2.76, 2 Y 2.77
S 0.0000 0.7331 0.1981  1 Dy 2.76, 2 Y 2.77